{
  "formula": "ZrAgSbTe2",
  "functional": "PBE",
  "state": "relaxed",
  "lattice_angstrom": [[-5.123, -0.406, -2.166], [2.195, -0.445, -5.107], [0.200, -5.571, 0.571]],
  "species": ["Te", "Te", "Sb", "Ag", "Zr"],
  "frac_coords": [[0.500, 0.000, 0.000], [0.000, 0.500, 0.000], [0.000, 0.000, 0.500], [0.500, 0.500, 0.500], [0.000, 0.000, 0.000]],
  "relative_energy_mev_per_atom": 0,
  "raw_formation_energy_ev_per_atom": 0.1878,
  "final_energy_ev_per_fu": -20.9,
  "space_group": "No. 123"
}